[1]
Entry from the Alexandria database: a relaxed BiPd2Au2 crystal (GGA-PBE).

It has space group P4/mbm (No. 127), with a = 7.760 Å, b = 7.760 Å, c = 3.224 Å, α = 90.00°, β = 90.00° and γ = 90.00°. The inequivalent atoms are Bi at (0.000, 0.000, 0.000), Pd at (0.161, 0.339, 0.500) and Au at (0.133, 0.633, 0.000).

Its formation energy is -0.29 eV per formula unit. As for the energy relative to the lowest polymorph listed for this composition: 26 meV per atom.


[2]
Entry from the Alexandria database: a relaxed CuSn4Au crystal (GGA-PBE).

It has space group P2_1/c (No. 14), with a = 6.695 Å, b = 6.534 Å, c = 6.733 Å, α = 90.00°, β = 93.52° and γ = 90.00°. The inequivalent atoms are Cu at (0.000, 0.000, 0.000), Sn at (0.120, 0.133, 0.651), Sn at (0.358, 0.618, 0.617) and Au at (0.500, 0.000, 0.500).

Its formation energy is -0.08 eV per formula unit. As for the energy relative to the lowest polymorph listed for this composition: 55 meV per atom.


[3]
Entry from the Alexandria database: a relaxed LaSc2V crystal (GGA-PBE).

It has space group Fm-3m (No. 225), with a = 7.304 Å, b = 7.304 Å, c = 7.304 Å, α = 90.00°, β = 90.00° and γ = 90.00°. The inequivalent atoms are La at (0.000, 0.000, 0.000), Sc at (0.250, 0.250, 0.250) and V at (0.000, 0.000, 0.500).

Its formation energy is 1.31 eV per formula unit. As for the energy relative to the lowest polymorph listed for this composition: 146 meV per atom.


[4]
Entry from the Alexandria database: a relaxed TiIrF2 crystal (GGA-PBE).

It has space group I-42d (No. 122), with a = 3.658 Å, b = 3.658 Å, c = 15.322 Å, α = 90.00°, β = 90.00° and γ = 90.00°. The inequivalent atoms are Ti at (0.000, 0.000, 0.000), Ir at (0.000, 0.000, 0.500) and F at (0.223, 0.250, 0.125).

As for the raw formation energy: -1045 meV per atom. As for the energy relative to the lowest polymorph listed for this composition: 497 meV per atom.


[5]
Entry from the Alexandria database: a relaxed SrAu2Br8 crystal (GGA-PBE).

It has space group I422 (No. 97), with a = 7.487 Å, b = 7.487 Å, c = 13.172 Å, α = 90.00°, β = 90.00° and γ = 90.00°. The inequivalent atoms are Sr at (0.000, 0.000, 0.000), Au at (0.000, 0.500, 0.250) and Br at (0.164, 0.325, 0.619).

As for the raw formation energy: -643 meV per atom.


[6]
Entry from the Alexandria database: a relaxed LaSn crystal (GGA-PBE).

It has space group F-43m (No. 216), with a = 7.257 Å, b = 7.257 Å, c = 7.257 Å, α = 90.00°, β = 90.00° and γ = 90.00°. The inequivalent atoms are La at (0.000, 0.000, 0.000) and Sn at (0.250, 0.250, 0.250).

Its formation energy is 0.20 eV per formula unit.


[7]
Entry from the Alexandria database: a relaxed Be2NbI crystal (GGA-PBE).

It has space group I-42d (No. 122), with a = 6.919 Å, b = 6.919 Å, c = 5.606 Å, α = 90.00°, β = 90.00° and γ = 90.00°. The inequivalent atoms are Be at (0.247, 0.750, 0.125), Nb at (0.000, 0.000, 0.500) and I at (0.000, 0.000, 0.000).

As for the raw formation energy: 971 meV per atom. As for the energy relative to the lowest polymorph listed for this composition: 0 meV per atom.


[8]
Entry from the Alexandria database: a relaxed LiHfSb2 crystal (GGA-PBE).

It has space group P4/mmm (No. 123), with a = 3.708 Å, b = 3.708 Å, c = 6.420 Å, α = 90.00°, β = 90.00° and γ = 90.00°. The inequivalent atoms are Li at (0.000, 0.000, 0.000), Hf at (0.000, 0.000, 0.500) and Sb at (0.500, 0.500, 0.254).

As for the raw formation energy: -346 meV per atom. As for the energy relative to the lowest polymorph listed for this composition: 45 meV per atom.


[9]
Entry from the Alexandria database: a relaxed BaCu2As crystal (GGA-PBE).

It has space group Pm (No. 6), with a = 4.685 Å, b = 4.316 Å, c = 4.968 Å, α = 90.00°, β = 96.45° and γ = 90.00°. The inequivalent atoms are Ba at (0.000, 0.000, 0.000), Cu at (0.255, 0.500, 0.543), Cu at (0.511, 0.000, 0.502) and As at (0.743, 0.500, 0.444).

Its formation energy is -1.24 eV per formula unit.


[10]
Entry from the Alexandria database: a relaxed Mg2TlCrIr crystal (GGA-PBE).

It has space group P4/mmm (No. 123), with a = 4.937 Å, b = 4.937 Å, c = 5.006 Å, α = 90.00°, β = 90.00° and γ = 90.00°. The inequivalent atoms are Mg at (0.000, 0.500, 0.000), Tl at (0.000, 0.000, 0.500), Cr at (0.000, 0.000, 0.000) and Ir at (0.500, 0.500, 0.500).

Its formation energy is 6.65 eV per formula unit.


[11]
Entry from the Alexandria database: a relaxed GdScP crystal (GGA-PBE).

It has space group F-43m (No. 216), with a = 6.480 Å, b = 6.480 Å, c = 6.480 Å, α = 90.00°, β = 90.00° and γ = 90.00°. The inequivalent atoms are Gd at (0.000, 0.000, 0.000), Sc at (0.000, 0.000, 0.500) and P at (0.250, 0.250, 0.250).

Its formation energy is -2.57 eV per formula unit.


[12]
Entry from the Alexandria database: a relaxed CaLa2Ag crystal (GGA-PBE).

It has space group I-42d (No. 122), with a = 9.162 Å, b = 9.162 Å, c = 6.585 Å, α = 90.00°, β = 90.00° and γ = 90.00°. The inequivalent atoms are Ca at (0.000, 0.000, 0.000), La at (0.198, 0.750, 0.625) and Ag at (0.000, 0.000, 0.500).

Its formation energy is 0.29 eV per formula unit. As for the energy relative to the lowest polymorph listed for this composition: 165 meV per atom.